Density functional theory data (PBE) for crystalline Er5Ag4Pt at its relaxed geometry.

The calculated formation energy comes out at -5.3 eV/f.u.

The structure belongs to space group P4/mmm (No. 123); the cell edges are 3.5523, 3.5523 and 18.1210 Å and the angles 90.00°, 90.00° and 90.00°. The inequivalent atoms are Er at (0.0000, 0.0000, 0.0000), Er at (0.0000, 0.0000, 0.2040), Er at (0.0000, 0.0000, 0.4088), Ag at (0.5000, 0.5000, 0.1018), Ag at (0.5000, 0.5000, 0.3037) and Pt at (0.5000, 0.5000, 0.5000).